(1)
The following is a PBE calculation of a relaxed CaZn2Os crystal, from Alexandria.

Calculated values
DFT formation energy: 345 meV/atom
DOS at the Fermi energy: 0.7691 states/eV/atom
calculated volume: 67.2 Å³/f.u.
magnetic moment: 0.53 μB per formula unit

Cell and atoms, written as POSCAR:
```
CaZn2Os
1.0
-1.1912 6.2784 -1.2874
-1.1822 -2.0272 4.2453
1.6559 2.0279 1.4246
Ca Zn Os
1 2 1
Direct
0.0000 0.5000 0.5000 Ca
0.5000 0.0000 0.5000 Zn
0.0000 0.0000 0.0000 Zn
0.5000 0.5000 0.0000 Os
```

---

(2)
The following is a PBE calculation of a relaxed PrHf2 crystal, from Alexandria.

Calculated values
excess energy over the best structure of this formula in the dataset: 225 meV per atom
DFT formation energy: 378 meV/atom
DOS at the Fermi energy: 1.8100 states/eV/atom
calculated volume: 81.9 Å³/f.u.
magnetic moment: 2.50 μB per formula unit

Cell and atoms, written as POSCAR:
```
PrHf2
1.0
6.1408 0.0000 0.0000
3.0704 5.3181 0.0000
3.0704 1.7727 5.0140
Hf Pr
4 2
Direct
0.1250 0.6250 0.6250 Hf
0.6250 0.6250 0.1250 Hf
0.6250 0.6250 0.6250 Hf
0.6250 0.1250 0.6250 Hf
0.2500 0.2500 0.2500 Pr
0.0000 0.0000 0.0000 Pr
```

---

(3)
The following is a PBE calculation of a relaxed In12Ga3Ge5 crystal, from Alexandria.

Calculated values
DFT formation energy: 155 meV/atom
DOS at the Fermi energy: 0.4459 states/eV/atom
calculated volume: 553.1 Å³/f.u.
magnetic moment: 0.00 μB per formula unit

Cell and atoms, written as POSCAR:
```
In12Ga3Ge5
1.0
14.2176 0.0000 0.0000
-4.7392 13.4044 0.0000
-4.7392 -6.7022 11.6086
In Ge Ga
48 20 12
Direct
0.8267 0.8966 0.2694 In
0.2306 0.5573 0.6272 In
0.0573 0.4301 0.8267 In
0.4427 0.6733 0.0699 In
0.2694 0.3966 0.8267 In
0.1272 0.3966 0.0699 In
0.5573 0.2306 0.1272 In
0.5699 0.6272 0.3966 In
0.0699 0.8966 0.1272 In
0.3728 0.9427 0.7694 In
0.6034 0.8728 0.4301 In
0.7694 0.4427 0.3728 In
0.6272 0.0573 0.2306 In
0.4427 0.7694 0.8728 In
0.3267 0.7694 0.3966 In
0.3728 0.4301 0.1034 In
0.1733 0.1034 0.7306 In
0.3966 0.2694 0.3267 In
0.2694 0.8728 0.9427 In
0.3267 0.5573 0.4301 In
0.6733 0.2306 0.6034 In
0.1034 0.1733 0.2306 In
0.6272 0.5699 0.8966 In
0.9301 0.8267 0.5573 In
0.8728 0.6034 0.9301 In
0.3966 0.1272 0.5699 In
0.1272 0.7306 0.5573 In
0.8966 0.8267 0.7694 In
0.7306 0.1272 0.0573 In
0.5699 0.9427 0.6733 In
0.7306 0.6034 0.1733 In
0.9427 0.3728 0.2694 In
0.8728 0.2694 0.4427 In
0.0699 0.1733 0.4427 In
0.9301 0.1034 0.8728 In
0.5573 0.3267 0.9301 In
0.1733 0.0699 0.9427 In
0.1034 0.9301 0.3728 In
0.6733 0.4427 0.5699 In
0.8267 0.9301 0.0573 In
0.2306 0.6733 0.1034 In
0.4301 0.3728 0.6034 In
0.6034 0.7306 0.6733 In
0.4301 0.0573 0.3267 In
0.0573 0.6272 0.7306 In
0.8966 0.0699 0.6272 In
0.9427 0.5699 0.1733 In
0.7694 0.3267 0.8966 In
0.0000 0.5000 0.5000 Ge
0.2500 0.8750 0.1250 Ge
0.0000 0.0000 0.5000 Ge
0.6250 0.7500 0.8750 Ge
0.6250 0.8750 0.2500 Ge
0.5000 0.0000 0.5000 Ge
0.2500 0.3750 0.6250 Ge
0.5000 0.5000 0.5000 Ge
0.8750 0.2500 0.6250 Ge
0.7500 0.1250 0.8750 Ge
0.5000 0.5000 0.0000 Ge
0.7500 0.6250 0.3750 Ge
0.1250 0.3750 0.2500 Ge
0.8750 0.6250 0.7500 Ge
0.0000 0.5000 0.0000 Ge
0.5000 0.0000 0.0000 Ge
0.0000 0.0000 0.0000 Ge
0.3750 0.2500 0.1250 Ge
0.3750 0.1250 0.7500 Ge
0.1250 0.7500 0.3750 Ge
0.7500 0.3750 0.1250 Ga
0.3750 0.6250 0.2500 Ga
0.2500 0.6250 0.8750 Ga
0.6250 0.2500 0.3750 Ga
0.7500 0.8750 0.6250 Ga
0.1250 0.8750 0.7500 Ga
0.2500 0.1250 0.3750 Ga
0.3750 0.7500 0.6250 Ga
0.1250 0.2500 0.8750 Ga
0.6250 0.3750 0.7500 Ga
0.8750 0.1250 0.2500 Ga
0.8750 0.7500 0.1250 Ga
```